## AsSeS2N (GGA-PBE)

Data for a geometry-optimized AsSeS2N structure.

Calculated values
ΔE to the lowest computed polymorph	0.0	kJ/mol of atoms

Cell: 4.8821 4.8821 3.5957 Å, 90.00 90.00 90.00°
With the nearest neighbours (Å) after each atom.
Space group P4/mmm (No. 123)
Inequivalent atoms, fractional coordinates:
As 0.0000 0.0000 0.0000 (multiplicity 1)  2 N 1.80
Se 0.5000 0.5000 0.5000 (multiplicity 1)  8 S 3.03
S 0.0000 0.5000 0.0000 (multiplicity 2)  2 As 2.44
N 0.0000 0.0000 0.5000 (multiplicity 1)  2 As 1.80

## LaPa5As6 (GGA-PBE)

Data for a geometry-optimized LaPa5As6 structure.

Calculated values
DFT formation energy	-1126	meV per atom

Cell: 7.1576 12.3939 7.1590 Å, 90.00 109.48 90.00°
With the nearest neighbours (Å) after each atom.
Space group C2/m (No. 12)
Inequivalent atoms, fractional coordinates:
La 0.0000 0.0000 0.0000 (multiplicity 2)  6 As 2.98-3.00
Pa 0.0000 0.1623 0.5000 (multiplicity 4)  6 As 2.89-2.93
Pa 0.0000 0.3325 0.0000 (multiplicity 4)  6 As 2.91-2.92
Pa 0.0000 0.5000 0.5000 (multiplicity 2)  6 As 2.86-2.92
As 0.2416 0.5000 0.2515 (multiplicity 4)  5 Pa 2.86-2.91, 1 La 2.98
As 0.2433 0.3292 0.7435 (multiplicity 8)  5 Pa 2.89-2.93, 1 La 3.00

## Rb2HOF6 (GGA-PBE)

Data for a geometry-optimized Rb2HOF6 structure.

Calculated values
energy	-3.266	eV/atom

Cell: 5.8385 5.8385 8.7472 Å, 90.00 90.00 90.00°
With the nearest neighbours (Å) after each atom.
Space group I4/mmm (No. 139)
Inequivalent atoms, fractional coordinates:
Rb 0.0000 0.5000 0.2500 (multiplicity 4)  12 F 2.97-3.05
H 0.0000 0.0000 0.0000 (multiplicity 2)  4 F 1.56
O 0.0000 0.0000 0.5000 (multiplicity 2)  2 F 1.66
F 0.0000 0.0000 0.3107 (multiplicity 4)  1 O 1.66
F 0.1891 0.1891 0.0000 (multiplicity 8)  1 H 1.56

## La3Y (GGA-PBE)

Data for a geometry-optimized La3Y structure.

Calculated values
DFT formation energy	210	meV per atom

Cell: 6.6482 6.6482 6.6482 Å, 90.00 90.00 90.00°
With the nearest neighbours (Å) after each atom.
Space group Pm-3n (No. 223)
Inequivalent atoms, fractional coordinates:
La 0.0000 0.2500 0.5000 (multiplicity 6)  2 La 3.32, 4 Y 3.72
Y 0.0000 0.0000 0.0000 (multiplicity 2)  12 La 3.72

## La2TbPb2 (GGA-PBE)

Data for a geometry-optimized La2TbPb2 structure.

Calculated values
ΔE to the lowest computed polymorph	4.1	kJ/mol of atoms
DFT formation energy	-517	meV per atom

Cell: 5.2270 19.0451 6.7380 Å, 90.00 90.00 90.00°
With the nearest neighbours (Å) after each atom.
Space group Cmcm (No. 63)
Inequivalent atoms, fractional coordinates:
La 0.0000 0.0000 0.0000 (multiplicity 4)  2 La 3.37, 4 Pb 3.44, 4 Tb 3.66
La 0.0000 0.1951 0.2500 (multiplicity 4)  6 Pb 3.37-3.47
Tb 0.0000 0.3988 0.2500 (multiplicity 4)  5 Pb 3.07-3.40
Pb 0.0000 0.1854 0.7500 (multiplicity 4)  2 Tb 3.07, 2 La 3.37
Pb 0.0000 0.4228 0.7500 (multiplicity 4)  3 Tb 3.40, 6 La 3.44-3.45

## SrZrBi2O6 (GGA-PBE)

Data for a geometry-optimized SrZrBi2O6 structure.

Calculated values
energy	-6.950	eV/atom

Cell: 6.0377 6.0377 15.4449 Å, 90.00 90.00 120.00°
With the nearest neighbours (Å) after each atom.
Space group R3 (No. 146, hexagonal axes)
Inequivalent atoms, fractional coordinates:
Sr 0.0000 0.0000 0.0000 (multiplicity 3)  6 O 2.44-2.62
Zr 0.0000 0.0000 0.5102 (multiplicity 3)  6 O 2.08-2.25
Bi 0.0000 0.0000 0.2203 (multiplicity 3)  6 O 2.39-2.41
Bi 0.0000 0.0000 0.7193 (multiplicity 3)  3 O 2.29
O 0.0035 0.3905 0.7865 (multiplicity 9)  1 Zr 2.08
O 0.0756 0.6778 0.2797 (multiplicity 9)  1 Zr 2.25, 2 Bi 2.29-2.39, 1 Sr 2.44

## TaHg2As (GGA-PBE)

Data for a geometry-optimized TaHg2As structure.

Calculated values
DFT formation energy	459	meV per atom

Cell: 2.9801 2.9801 9.2663 Å, 90.00 90.00 90.00°
With the nearest neighbours (Å) after each atom.
Space group P4/mmm (No. 123)
Inequivalent atoms, fractional coordinates:
Ta 0.0000 0.0000 0.0000 (multiplicity 1)  4 Ta 2.98, 8 Hg 3.03
Hg 0.5000 0.5000 0.2348 (multiplicity 2)  4 Hg 2.98, 4 Ta 3.03, 4 As 3.24
As 0.0000 0.0000 0.5000 (multiplicity 1)  4 As 2.98, 8 Hg 3.24

## Ag2Mo (GGA-PBE)

Data for a geometry-optimized Ag2Mo structure.

Calculated values
ΔE to the lowest computed polymorph	24.0	kJ/mol of atoms
DFT formation energy	640	meV per atom

Cell: 2.7148 4.3451 8.6630 Å, 90.00 90.00 90.00°
With the nearest neighbours (Å) after each atom.
Space group Immm (No. 71)
Inequivalent atoms, fractional coordinates:
Ag 0.0000 0.0000 0.1651 (multiplicity 4)  7 Ag 2.71-2.95, 5 Mo 2.90-2.93
Mo 0.0000 0.0000 0.5000 (multiplicity 2)  2 Mo 2.71, 10 Ag 2.90-2.93

## AcNdErZn (GGA-PBE)

Data for a geometry-optimized AcNdErZn structure.

Calculated values
DFT formation energy	176	meV per atom

Cell: 7.8801 7.8801 7.8801 Å, 90.00 90.00 90.00°
With the nearest neighbours (Å) after each atom.
Space group F-43m (No. 216)
Inequivalent atoms, fractional coordinates:
Ac 0.0000 0.0000 0.0000 (multiplicity 4)  4 Nd 3.41, 4 Er 3.41
Nd 0.2500 0.2500 0.2500 (multiplicity 4)  4 Ac 3.41, 4 Zn 3.41
Er 0.2500 0.2500 0.7500 (multiplicity 4)  4 Ac 3.41, 4 Zn 3.41
Zn 0.0000 0.0000 0.5000 (multiplicity 4)  4 Er 3.41, 4 Nd 3.41

## SrAlTl (GGA-PBE)

Data for a geometry-optimized SrAlTl structure.

Calculated values
DFT formation energy	-275	meV per atom

Cell: 4.9051 6.3544 6.4753 Å, 77.54 67.82 67.30°
With the nearest neighbours (Å) after each atom.
Space group P-1 (No. 2)
Inequivalent atoms, fractional coordinates:
Sr 0.0500 0.2029 0.1964 (multiplicity 2)  6 Tl 3.42-3.74, 6 Al 3.44-3.82
Al 0.3527 0.1971 0.5981 (multiplicity 2)  1 Al 2.68, 2 Tl 2.90
Tl 0.3239 0.6022 0.2489 (multiplicity 2)  3 Al 2.90-3.03

## Lu2TaHg (GGA-PBE)

Data for a geometry-optimized Lu2TaHg structure.

Calculated values
ΔE to the lowest computed polymorph	49.1	kJ/mol of atoms
DFT formation energy	456	meV per atom

Cell: 3.1927 3.1927 33.2333 Å, 90.00 90.00 120.00°
With the nearest neighbours (Å) after each atom.
Space group R-3m (No. 166, hexagonal axes)
Inequivalent atoms, fractional coordinates:
Lu 0.0000 0.0000 0.0885 (multiplicity 6)  1 Ta 2.94, 3 Hg 3.19, 6 Lu 3.19
Ta 0.0000 0.0000 0.0000 (multiplicity 3)  2 Lu 2.94, 6 Ta 3.19
Hg 0.0000 0.0000 0.5000 (multiplicity 3)  6 Lu 3.19, 6 Hg 3.19

## AlCdS3 (GGA-PBE)

Data for a geometry-optimized AlCdS3 structure.

Calculated values
ΔE to the lowest computed polymorph	48.2	kJ/mol of atoms

Cell: 4.6441 4.6441 4.6441 Å, 90.00 90.00 90.00°
With the nearest neighbours (Å) after each atom.
Space group Pm-3m (No. 221)
Inequivalent atoms, fractional coordinates:
Al 0.0000 0.0000 0.0000 (multiplicity 1)  6 S 2.32
Cd 0.5000 0.5000 0.5000 (multiplicity 1)  12 S 3.28
S 0.0000 0.0000 0.5000 (multiplicity 3)  2 Al 2.32

Record-wise V values, in Å³/cell: 85.7, 598.7, 298.2, 293.8, 670.8, 487.6, 82.3, 102.2, 489.3, 171.8, 293.4, 100.2
Record-wise theoretical density values, in Mg/m³: 4.50, 9.67, 3.36, 5.71, 8.43, 7.08, 13.26, 10.13, 8.20, 6.17, 12.42, 3.91